Record 1
# Ac8GeAs4S3 GGA-PBE relaxed
# Raw formation energy   -1.625 eV/atom
data_Ac8GeAs4S3
_chemical_formula_sum 'Ac24 Ge3 As12 S9'
_symmetry_space_group_name_H-M 'R -3 m'
_symmetry_Int_Tables_number 166
_symmetry_space_group_name_Hall '-R 3 2"'
_cell_length_a 8.9589
_cell_length_b 8.9589
_cell_length_c 21.9114
_cell_angle_alpha 90.00
_cell_angle_beta 90.00
_cell_angle_gamma 120.00
loop_
_atom_site_label
_atom_site_type_symbol
_atom_site_fract_x
_atom_site_fract_y
_atom_site_fract_z
Ac1 Ac 0.0000 0.0000 0.2494
Ac2 Ac 0.0011 0.5005 0.7496
Ge1 Ge 0.0000 0.0000 0.0000
As1 As 0.0000 0.0000 0.5000
As2 As 0.0000 0.5000 0.5000
S1 S 0.0000 0.5000 0.0000



Record 2
# Ac6GeAs2S3 GGA-PBE relaxed
# Raw formation energy   -1.659 eV/atom
data_Ac6GeAs2S3
_chemical_formula_sum 'Ac12 Ge2 As4 S6'
_symmetry_space_group_name_H-M 'C 1 2/m 1'
_symmetry_Int_Tables_number 12
_cell_length_a 19.352
_cell_length_b 4.480
_cell_length_c 8.855
_cell_angle_alpha 90.00
_cell_angle_beta 102.38
_cell_angle_gamma 90.00
loop_
_symmetry_equiv_pos_as_xyz
'x,y,z'
'-x,-y,-z'
'-x,y,-z'
'x,-y,z'
'x+1/2,y+1/2,z'
'-x+1/2,-y+1/2,-z'
'-x+1/2,y+1/2,-z'
'x+1/2,-y+1/2,z'
loop_
_atom_site_label
_atom_site_type_symbol
_atom_site_fract_x
_atom_site_fract_y
_atom_site_fract_z
Ac1 Ac 0.000 0.000 0.248
Ac2 Ac 0.166 0.500 0.082
Ac3 Ac 0.166 0.500 0.584
Ge1 Ge 0.000 0.500 0.000
As1 As 0.168 0.000 0.335
S1 S 0.000 0.500 0.500
S2 S 0.167 0.000 0.832



Record 3
# AcGeSbAs GGA-PBE relaxed
# Raw formation energy   -0.294 eV/atom
data_AcGeSbAs
_chemical_formula_sum 'Ac4 Ge4 Sb4 As4'
_symmetry_space_group_name_H-M 'F -4 3 m'
_symmetry_Int_Tables_number 216
_symmetry_space_group_name_Hall 'F -4 2 3'
_cell_length_a 7.520
_cell_length_b 7.520
_cell_length_c 7.520
_cell_angle_alpha 90.00
_cell_angle_beta 90.00
_cell_angle_gamma 90.00
loop_
_atom_site_label
_atom_site_type_symbol
_atom_site_fract_x
_atom_site_fract_y
_atom_site_fract_z
Ac1 Ac 0.000 0.000 0.000
Ge1 Ge 0.250 0.250 0.250
Sb1 Sb 0.000 0.000 0.500
As1 As 0.250 0.250 0.750



Record 4
# Ac4GeAs2Se GGA-PBE relaxed
# Raw formation energy   -1.426 eV/atom
data_Ac4GeAs2Se
_chemical_formula_sum 'Ac4 Ge1 As2 Se1'
_symmetry_space_group_name_H-M 'P 1 2/m 1'
_symmetry_Int_Tables_number 10
_cell_length_a 7.884
_cell_length_b 4.542
_cell_length_c 7.896
_cell_angle_alpha 90.00
_cell_angle_beta 109.33
_cell_angle_gamma 90.00
loop_
_symmetry_equiv_pos_as_xyz
'x,y,z'
'-x,-y,-z'
'-x,y,-z'
'x,-y,z'
loop_
_atom_site_label
_atom_site_type_symbol
_atom_site_fract_x
_atom_site_fract_y
_atom_site_fract_z
Ac1 Ac 0.242 0.000 0.245
Ac2 Ac 0.247 0.500 0.752
Ge1 Ge 0.000 0.000 0.500
As1 As 0.000 0.500 0.000
As2 As 0.500 0.000 0.000
Se1 Se 0.500 0.500 0.500



Record 5
# Ac4Ge2AsSe GGA-PBE relaxed
# Raw formation energy   -1.178 eV/atom
data_Ac4Ge2AsSe
_chemical_formula_sum 'Ac4 Ge2 As1 Se1'
_symmetry_space_group_name_H-M 'P 1 2/m 1'
_symmetry_Int_Tables_number 10
_cell_length_a 7.848
_cell_length_b 4.525
_cell_length_c 8.042
_cell_angle_alpha 90.00
_cell_angle_beta 109.00
_cell_angle_gamma 90.00
loop_
_symmetry_equiv_pos_as_xyz
'x,y,z'
'-x,-y,-z'
'-x,y,-z'
'x,-y,z'
loop_
_atom_site_label
_atom_site_type_symbol
_atom_site_fract_x
_atom_site_fract_y
_atom_site_fract_z
Ac1 Ac 0.245 0.000 0.246
Ac2 Ac 0.245 0.500 0.748
Ge1 Ge 0.000 0.500 0.000
Ge2 Ge 0.500 0.000 0.000
As1 As 0.000 0.000 0.500
Se1 Se 0.500 0.500 0.500



Record 6
# Ac6Ge2AsSe3 GGA-PBE relaxed
# Raw formation energy   -1.500 eV/atom
data_Ac6Ge2AsSe3
_chemical_formula_sum 'Ac12 Ge4 As2 Se6'
_symmetry_space_group_name_H-M 'C 1 2/m 1'
_symmetry_Int_Tables_number 12
_cell_length_a 19.813
_cell_length_b 4.562
_cell_length_c 9.087
_cell_angle_alpha 90.00
_cell_angle_beta 102.96
_cell_angle_gamma 90.00
loop_
_symmetry_equiv_pos_as_xyz
'x,y,z'
'-x,-y,-z'
'-x,y,-z'
'x,-y,z'
'x+1/2,y+1/2,z'
'-x+1/2,-y+1/2,-z'
'-x+1/2,y+1/2,-z'
'x+1/2,-y+1/2,z'
loop_
_atom_site_label
_atom_site_type_symbol
_atom_site_fract_x
_atom_site_fract_y
_atom_site_fract_z
Ac1 Ac 0.003 0.000 0.246
Ac2 Ac 0.165 0.500 0.091
Ac3 Ac 0.169 0.500 0.577
Ge1 Ge 0.166 0.000 0.331
As1 As 0.000 0.500 0.000
Se1 Se 0.000 0.500 0.500
Se2 Se 0.166 0.000 0.834



Record 7
# Ac6Ge2As3Se GGA-PBE relaxed
# Raw formation energy   -1.281 eV/atom
data_Ac6Ge2As3Se
_chemical_formula_sum 'Ac12 Ge4 As6 Se2'
_symmetry_space_group_name_H-M 'C 1 2/m 1'
_symmetry_Int_Tables_number 12
_cell_length_a 19.920
_cell_length_b 4.514
_cell_length_c 9.195
_cell_angle_alpha 90.00
_cell_angle_beta 103.37
_cell_angle_gamma 90.00
loop_
_symmetry_equiv_pos_as_xyz
'x,y,z'
'-x,-y,-z'
'-x,y,-z'
'x,-y,z'
'x+1/2,y+1/2,z'
'-x+1/2,-y+1/2,-z'
'-x+1/2,y+1/2,-z'
'x+1/2,-y+1/2,z'
loop_
_atom_site_label
_atom_site_type_symbol
_atom_site_fract_x
_atom_site_fract_y
_atom_site_fract_z
Ac1 Ac 0.000 0.000 0.243
Ac2 Ac 0.166 0.500 0.086
Ac3 Ac 0.168 0.500 0.582
Ge1 Ge 0.165 0.000 0.830
As1 As 0.000 0.500 0.000
As2 As 0.164 0.000 0.335
Se1 Se 0.000 0.500 0.500



Record 8
# AcSnGeAs GGA-PBE relaxed
# DFT formation energy   -1.4 eV per formula unit
data_AcSnGeAs
_chemical_formula_sum 'Ac4 Sn4 Ge4 As4'
_symmetry_space_group_name_H-M 'F -4 3 m'
_symmetry_Int_Tables_number 216
_symmetry_space_group_name_Hall 'F -4 2 3'
_cell_length_a 7.511
_cell_length_b 7.511
_cell_length_c 7.511
_cell_angle_alpha 90.00
_cell_angle_beta 90.00
_cell_angle_gamma 90.00
loop_
_atom_site_label
_atom_site_type_symbol
_atom_site_fract_x
_atom_site_fract_y
_atom_site_fract_z
Ac1 Ac 0.000 0.000 0.000
Sn1 Sn 0.000 0.000 0.500
Ge1 Ge 0.250 0.250 0.250
As1 As 0.250 0.250 0.750



Record 9
# Ac8GeTe3As4 GGA-PBE relaxed
# Raw formation energy   -1.456 eV/atom
data_Ac8GeTe3As4
_chemical_formula_sum 'Ac24 Ge3 Te9 As12'
_symmetry_space_group_name_H-M 'R -3 m'
_symmetry_Int_Tables_number 166
_symmetry_space_group_name_Hall '-R 3 2"'
_cell_length_a 9.2346
_cell_length_b 9.2346
_cell_length_c 22.7923
_cell_angle_alpha 90.00
_cell_angle_beta 90.00
_cell_angle_gamma 120.00
loop_
_atom_site_label
_atom_site_type_symbol
_atom_site_fract_x
_atom_site_fract_y
_atom_site_fract_z
Ac1 Ac 0.0000 0.0000 0.2418
Ac2 Ac 0.0111 0.5055 0.7543
Ge1 Ge 0.0000 0.0000 0.0000
Te1 Te 0.0000 0.5000 0.0000
As1 As 0.0000 0.0000 0.5000
As2 As 0.0000 0.5000 0.5000



Record 10
# Ac4GeTeAs2 GGA-PBE relaxed
# Raw formation energy   -1.325 eV/atom
data_Ac4GeTeAs2
_chemical_formula_sum 'Ac4 Ge1 Te1 As2'
_symmetry_space_group_name_H-M 'P 1 2/m 1'
_symmetry_Int_Tables_number 10
_cell_length_a 8.008
_cell_length_b 4.586
_cell_length_c 8.018
_cell_angle_alpha 90.00
_cell_angle_beta 109.12
_cell_angle_gamma 90.00
loop_
_symmetry_equiv_pos_as_xyz
'x,y,z'
'-x,-y,-z'
'-x,y,-z'
'x,-y,z'
loop_
_atom_site_label
_atom_site_type_symbol
_atom_site_fract_x
_atom_site_fract_y
_atom_site_fract_z
Ac1 Ac 0.236 0.000 0.233
Ac2 Ac 0.244 0.500 0.756
Ge1 Ge 0.500 0.000 0.000
Te1 Te 0.500 0.500 0.500
As1 As 0.000 0.000 0.500
As2 As 0.000 0.500 0.000



Record 11
# Ac8GeTe4As3 GGA-PBE relaxed
# Raw formation energy   -1.483 eV/atom
data_Ac8GeTe4As3
_chemical_formula_sum 'Ac24 Ge3 Te12 As9'
_symmetry_space_group_name_H-M 'R -3 m'
_symmetry_Int_Tables_number 166
_symmetry_space_group_name_Hall '-R 3 2"'
_cell_length_a 9.2353
_cell_length_b 9.2353
_cell_length_c 23.2083
_cell_angle_alpha 90.00
_cell_angle_beta 90.00
_cell_angle_gamma 120.00
loop_
_atom_site_label
_atom_site_type_symbol
_atom_site_fract_x
_atom_site_fract_y
_atom_site_fract_z
Ac1 Ac 0.0000 0.0000 0.2414
Ac2 Ac 0.0020 0.5010 0.2414
Ge1 Ge 0.0000 0.0000 0.5000
Te1 Te 0.0000 0.0000 0.0000
Te2 Te 0.0000 0.5000 0.0000
As1 As 0.0000 0.5000 0.5000



Record 12
# Ac4GeTe2As GGA-PBE relaxed
# Raw formation energy   -1.401 eV/atom
data_Ac4GeTe2As
_chemical_formula_sum 'Ac4 Ge1 Te2 As1'
_symmetry_space_group_name_H-M 'P 1 2/m 1'
_symmetry_Int_Tables_number 10
_cell_length_a 8.028
_cell_length_b 4.639
_cell_length_c 8.188
_cell_angle_alpha 90.00
_cell_angle_beta 109.10
_cell_angle_gamma 90.00
loop_
_symmetry_equiv_pos_as_xyz
'x,y,z'
'-x,-y,-z'
'-x,y,-z'
'x,-y,z'
loop_
_atom_site_label
_atom_site_type_symbol
_atom_site_fract_x
_atom_site_fract_y
_atom_site_fract_z
Ac1 Ac 0.240 0.000 0.225
Ac2 Ac 0.256 0.500 0.776
Ge1 Ge 0.000 0.500 0.000
Te1 Te 0.000 0.000 0.500
Te2 Te 0.500 0.500 0.500
As1 As 0.500 0.000 0.000



What is the formula in the second record? Ac6GeAs2S3